Rb3Ba2NbSe6 | PBE | relaxed

Unit cell a=7.840 b=7.840 c=8.307 alpha=99.27 beta=99.27 gamma=119.88
Element x y z (fractional)
Rb  0.170  0.830  0.500
Rb  0.830  0.170  0.500
Rb  0.500  0.500  0.500
Ba  0.334  0.666  0.000
Ba  0.666  0.334  0.000
Nb  0.000  0.000  0.000
Se  0.933  0.656  0.801
Se  0.792  0.792  0.197
Se  0.067  0.344  0.199
Se  0.656  0.933  0.801
Se  0.208  0.208  0.803
Se  0.344  0.067  0.199

For the total energy, the calculation gives -4.457 eV/atom. The space group is C2/m (12). The raw formation energy comes out at -1521 kJ/mol of formula units.

---

Rb2BaNb2Se11 | PBE | relaxed

Unit cell a=8.033 b=14.266 c=17.259 alpha=90.00 beta=94.98 gamma=90.00
Element x y z (fractional)
Rb  0.740  0.539  0.917
Rb  0.260  0.461  0.083
Rb  0.740  0.961  0.417
Rb  0.711  0.880  0.732
Rb  0.260  0.039  0.583
Rb  0.289  0.380  0.768
Rb  0.711  0.620  0.232
Rb  0.289  0.120  0.268
Ba  0.758  0.879  0.036
Ba  0.758  0.621  0.536
Ba  0.242  0.379  0.464
Ba  0.242  0.121  0.964
Nb  0.857  0.329  0.197
Nb  0.857  0.171  0.697
Nb  0.279  0.715  0.602
Nb  0.143  0.671  0.803
Nb  0.721  0.215  0.898
Nb  0.279  0.785  0.102
Nb  0.143  0.829  0.303
Nb  0.721  0.285  0.398
Se  0.851  0.166  0.303
Se  0.836  0.123  0.027
Se  0.037  0.283  0.612
Se  0.164  0.877  0.973
Se  0.501  0.196  0.448
Se  0.439  0.827  0.246
Se  0.797  0.447  0.103
Se  0.396  0.543  0.602
Se  0.963  0.783  0.888
Se  0.037  0.217  0.112
Se  0.623  0.293  0.660
Se  0.079  0.573  0.674
Se  0.012  0.811  0.566
Se  0.604  0.457  0.398
Se  0.604  0.043  0.898
Se  0.377  0.707  0.340
Se  0.164  0.623  0.473
Se  0.841  0.635  0.737
Se  0.149  0.666  0.197
Se  0.797  0.053  0.603
Se  0.149  0.834  0.697
Se  0.623  0.207  0.160
Se  0.501  0.304  0.948
Se  0.159  0.135  0.763
Se  0.841  0.865  0.237
Se  0.921  0.427  0.326
Se  0.203  0.947  0.397
Se  0.159  0.365  0.263
Se  0.851  0.334  0.803
Se  0.396  0.957  0.102
Se  0.561  0.327  0.254
Se  0.561  0.173  0.754
Se  0.079  0.927  0.174
Se  0.203  0.553  0.897
Se  0.377  0.793  0.840
Se  0.439  0.673  0.746
Se  0.988  0.189  0.434
Se  0.963  0.717  0.388
Se  0.012  0.689  0.066
Se  0.499  0.804  0.552
Se  0.921  0.073  0.826
Se  0.988  0.311  0.934
Se  0.499  0.696  0.052
Se  0.836  0.377  0.527

For the total energy, the calculation gives -4.799 eV/atom. The space group is P2_1/c (14). The raw formation energy comes out at -1395 kJ/mol of formula units.

---

BaNb2Re | PBE | relaxed

Unit cell a=5.271 b=5.271 c=9.548 alpha=73.98 beta=73.98 gamma=90.00
Element x y z (fractional)
Re  0.000  0.000  0.000
Re  0.750  0.250  0.500
Nb  0.875  0.125  0.250
Nb  0.875  0.625  0.250
Nb  0.375  0.125  0.750
Nb  0.875  0.125  0.750
Ba  0.500  0.500  0.000
Ba  0.250  0.750  0.500

For the total energy, the calculation gives -7.363 eV/atom. The calculated formation energy comes out at 1.2647 eV per atom. The space group is I4_1/amd (141). The density of states at the Fermi level comes out at 5.53 states/eV/f.u. The calculation puts the relative energy among the computed polymorphs at 1.14 eV/f.u.

---

BaNb2Re | PBE | relaxed

Unit cell a=4.852 b=4.852 c=4.852 alpha=60.00 beta=60.00 gamma=60.00
Element x y z (fractional)
Re  0.500  0.500  0.500
Nb  0.250  0.250  0.250
Nb  0.750  0.750  0.750
Ba  0.000  0.000  0.000

For the total energy, the calculation gives -7.648 eV/atom. The calculated formation energy comes out at 0.9795 eV per atom. The space group is Fm-3m (225). The density of states at the Fermi level comes out at 3.06 states/eV/f.u. The calculation puts the relative energy among the computed polymorphs at 0.00 eV/f.u.

---

BaNb2ReS | PBE | relaxed

Unit cell a=4.819 b=4.586 c=4.819 alpha=90.00 beta=90.00 gamma=90.00
Element x y z (fractional)
S  0.000  0.000  0.000
Re  0.000  0.500  0.000
Nb  0.000  0.000  0.500
Nb  0.500  0.000  0.000
Ba  0.500  0.500  0.500

For the total energy, the calculation gives -7.085 eV/atom. The space group is P4/mmm (123). The raw formation energy comes out at 310 kJ/mol of formula units. The density of states at the Fermi level comes out at 6.52 states/eV/f.u.

---

Ba2YNbRe | PBE | relaxed

Unit cell a=5.926 b=5.368 c=5.926 alpha=90.00 beta=90.00 gamma=90.00
Site moments in Bohr magnetons follow the coordinates.
Element x y z (fractional)
Y  0.000  0.500  0.000  -0.07
Re  0.500  0.500  0.500  3.22
Nb  0.000  0.000  0.000  0.31
Ba  0.000  0.000  0.500  0.01
Ba  0.500  0.000  0.000  0.00

For the total energy, the calculation gives -4.834 eV/atom. The calculated formation energy comes out at 1.7318 eV per atom. The space group is P4/mmm (123). The density of states at the Fermi level comes out at 4.96 states/eV/f.u.

---

BaNbRh3 | PBE | relaxed

Unit cell a=4.883 b=4.883 c=4.883 alpha=90.00 beta=90.00 gamma=90.00
Element x y z (fractional)
Nb  0.000  0.000  0.000
Rh  0.000  0.500  0.000
Rh  0.000  0.000  0.500
Rh  0.500  0.000  0.000
Ba  0.500  0.500  0.500

For the total energy, the calculation gives -6.613 eV/atom. The calculated formation energy comes out at 0.1966 eV per atom. The space group is Pm-3m (221). The density of states at the Fermi level comes out at 1.71 states/eV/f.u. The calculation puts the relative energy among the computed polymorphs at 0.00 eV/f.u.

---

BaNbRh2 | PBE | relaxed

Unit cell a=4.871 b=4.871 c=4.871 alpha=60.00 beta=60.00 gamma=60.00
Site moments in Bohr magnetons follow the coordinates.
Element x y z (fractional)
Nb  0.000  0.000  0.000  0.21
Rh  0.250  0.250  0.250  -0.02
Rh  0.750  0.750  0.750  -0.02
Ba  0.500  0.500  0.500  0.01

For the total energy, the calculation gives -6.278 eV/atom. The calculated formation energy comes out at 0.3958 eV per atom. The space group is Fm-3m (225). The density of states at the Fermi level comes out at 4.13 states/eV/f.u. The calculation puts the relative energy among the computed polymorphs at 0.59 eV/f.u.

---

Ba3NbRh | PBE | relaxed

Unit cell a=5.964 b=5.964 c=5.964 alpha=90.00 beta=90.00 gamma=90.00
Site moments in Bohr magnetons follow the coordinates.
Element x y z (fractional)
Nb  0.500  0.500  0.500  2.91
Rh  0.000  0.000  0.000  0.05
Ba  0.000  0.500  0.000  0.02
Ba  0.000  0.000  0.500  0.03
Ba  0.500  0.000  0.000  0.04

For the total energy, the calculation gives -3.997 eV/atom. The calculated formation energy comes out at 0.6410 eV per atom. The space group is Pm-3m (221). The density of states at the Fermi level comes out at 7.20 states/eV/f.u. The calculation puts the relative energy among the computed polymorphs at 0.00 eV/f.u.

---

BaNb3Rh | PBE | relaxed

Unit cell a=4.988 b=4.988 c=4.988 alpha=90.00 beta=90.00 gamma=90.00
Element x y z (fractional)
Nb  0.000  0.500  0.000
Nb  0.000  0.000  0.500
Nb  0.500  0.000  0.000
Rh  0.500  0.500  0.500
Ba  0.000  0.000  0.000

For the total energy, the calculation gives -5.203 eV/atom. The calculated formation energy comes out at 2.6941 eV per atom. The space group is Pm-3m (221). The density of states at the Fermi level comes out at 9.11 states/eV/f.u. The calculation puts the relative energy among the computed polymorphs at 8.90 eV/f.u.

---

BaNbRh3 | PBE | relaxed

Unit cell a=4.944 b=4.944 c=4.944 alpha=90.00 beta=90.00 gamma=90.00
Element x y z (fractional)
Nb  0.500  0.500  0.500
Rh  0.000  0.500  0.000
Rh  0.000  0.000  0.500
Rh  0.500  0.000  0.000
Ba  0.000  0.000  0.000

For the total energy, the calculation gives -4.728 eV/atom. The calculated formation energy comes out at 2.0819 eV per atom. The space group is Pm-3m (221). The density of states at the Fermi level comes out at 8.69 states/eV/f.u. The calculation puts the relative energy among the computed polymorphs at 9.43 eV/f.u.

---

BaNb3Rh | PBE | relaxed

Unit cell a=5.015 b=5.015 c=5.015 alpha=90.00 beta=90.00 gamma=90.00
Element x y z (fractional)
Nb  0.000  0.500  0.000
Nb  0.000  0.000  0.500
Nb  0.500  0.000  0.000
Rh  0.000  0.000  0.000
Ba  0.500  0.500  0.500

For the total energy, the calculation gives -6.983 eV/atom. The calculated formation energy comes out at 0.9136 eV per atom. The space group is Pm-3m (221). The density of states at the Fermi level comes out at 3.26 states/eV/f.u. The calculation puts the relative energy among the computed polymorphs at 0.00 eV/f.u.